Record 1
Crystalline BeAlCl2 at its relaxed geometry. Source: Alexandria, functional GGA-PBE.

Cell: 3.5779 3.5779 9.2088 Å, 70.97 70.97 51.93°
Fractional positions:
Be 0.3011 0.3011 0.2626
Al 0.4752 0.4752 0.4627
Cl 0.8961 0.8961 0.1103
Cl 0.8276 0.8276 0.6645

Calculated values
Offset from the most stable computed form   0 meV per atom
Total magnetic moment   0.00 μB per atom
Space group   Cm, No. 8


Record 2
Crystalline Mg2TaCdIn at its relaxed geometry. Source: Alexandria, functional GGA-PBE.

Cell: 5.1032 5.3652 5.1032 Å, 90.00 90.00 90.00°
Fractional positions:
Cd 0.5000 0.5000 0.5000
Mg 0.0000 0.0000 0.5000
Mg 0.5000 0.0000 0.0000
In 0.0000 0.0000 0.0000
Ta 0.0000 0.5000 0.0000

Calculated values
Total magnetic moment   0.00 μB per atom
Raw total energy   -13.7 eV/cell
Space group   P4/mmm, No. 123


Record 3
Crystalline Tb3Sm6Y at its relaxed geometry. Source: Alexandria, functional GGA-PBE.

Cell: 6.4025 11.0347 11.0347 Å, 120.85 90.00 90.00°
Fractional positions:
Tb 0.4713 0.9444 0.7142
Tb 0.9713 0.7142 0.9444
Tb 0.0837 0.3861 0.6139
Tb 0.5837 0.6139 0.3861
Tb 0.9713 0.0556 0.2858
Tb 0.4713 0.2858 0.0556
Sm 0.0523 0.7143 0.6267
Sm 0.5523 0.6267 0.7143
Sm 0.3604 0.5205 0.9424
Sm 0.8604 0.9424 0.5205
Sm 0.3723 0.9667 0.0333
Sm 0.6519 0.2792 0.7208
Sm 0.1519 0.7208 0.2792
Sm 0.8723 0.0333 0.9667
Sm 0.3604 0.0576 0.4795
Sm 0.8604 0.4795 0.0576
Sm 0.0523 0.3733 0.2857
Sm 0.5523 0.2857 0.3733
Y 0.1096 0.1914 0.8086
Y 0.6096 0.8086 0.1914

Calculated values
Offset from the most stable computed form   25 meV per atom
Total magnetic moment   0.00 μB per atom
Space group   Cmc2_1, No. 36


Record 4
Crystalline NaSc3Fe at its relaxed geometry. Source: Alexandria, functional GGA-PBE.

Cell: 4.9429 4.9429 4.9429 Å, 90.00 90.00 90.00°
Fractional positions:
Sc 0.0000 0.5000 0.0000
Sc 0.0000 0.0000 0.5000
Sc 0.5000 0.0000 0.0000
Na 0.5000 0.5000 0.5000
Fe 0.0000 0.0000 0.0000

Calculated values
Offset from the most stable computed form   0 meV per atom
Total magnetic moment   0.00 μB per atom
Space group   Pm-3m, No. 221


Record 5
Crystalline Pa3Cd2S8 at its relaxed geometry. Source: Alexandria, functional GGA-PBE.

Cell: 7.0263 7.9529 7.3748 Å, 122.63 95.44 90.00°
Each line ends with the local moment (μB).
Fractional positions:
Pa 0.5000 0.0000 0.0000  0.81
Pa 0.0000 0.2518 0.0000  0.81
Pa 0.0000 0.7482 0.0000  0.81
Cd 0.4410 0.2885 0.5769  0.04
Cd 0.5590 0.7115 0.4231  0.04
S 0.8705 0.6156 0.2312  -0.02
S 0.1295 0.3844 0.7688  -0.02
S 0.8492 0.1131 0.2263  -0.03
S 0.1508 0.8869 0.7737  -0.03
S 0.6506 0.6394 0.7559  -0.01
S 0.6506 0.1164 0.7559  -0.01
S 0.3494 0.8836 0.2441  -0.01
S 0.3494 0.3606 0.2441  -0.01

Calculated values
Total magnetic moment   0.22 μB per atom
Raw total energy   -79.2 eV/cell
Space group   C2/m, No. 12


Record 6
Crystalline SmGdHoZr at its relaxed geometry. Source: Alexandria, functional GGA-PBE.

Cell: 5.5277 5.5277 5.5277 Å, 60.00 60.00 60.00°
Each line ends with the local moment (μB).
Fractional positions:
Zr 0.2500 0.2500 0.2500  -0.78
Gd 0.5000 0.5000 0.5000  -7.37
Ho 0.0000 0.0000 0.0000  -0.28
Sm 0.7500 0.7500 0.7500  -0.09

Calculated values
Total magnetic moment   2.39 μB per atom
Raw total energy   -31.1 eV/cell
Space group   F-43m, No. 216


Record 7
Crystalline CrTcP at its relaxed geometry. Source: Alexandria, functional GGA-PBE.

Cell: 4.9464 4.9464 4.9464 Å, 146.39 146.39 48.26°
Fractional positions:
Cr 0.9825 0.9825 0.0000
P 0.3432 0.3432 0.0000
Tc 0.6743 0.6743 0.0000

Calculated values
Offset from the most stable computed form   142 meV per atom
Total magnetic moment   0.00 μB per atom
Space group   I4mm, No. 107


Record 8
Crystalline B2SbHPd at its relaxed geometry. Source: Alexandria, functional GGA-PBE.

Cell: 3.8764 4.0573 3.8764 Å, 90.00 90.00 90.00°
Fractional positions:
Sb 0.0000 0.5000 0.0000
B 0.0000 0.0000 0.5000
B 0.5000 0.0000 0.0000
Pd 0.5000 0.5000 0.5000
H 0.0000 0.0000 0.0000

Calculated values
Offset from the most stable computed form   0 meV per atom
Total magnetic moment   0.00 μB per atom
Space group   P4/mmm, No. 123